VASP calculation (PBE-GGA) on crystalline TaTl2Ag at its relaxed geometry.

Cell: 5.2178 3.1037 5.2830 Å, 90.00 90.00 90.00°
Closest atoms and distances in Å follow each position.
Atoms (fractional coordinates):
Tl (0.5000, 0.1249, 0.3453)  4 Ta 3.04-3.09, 4 Ag 3.06, 2 Tl 3.10
Ag (0.0000, 0.6251, 0.4172)  8 Tl 2.98-3.15, 2 Ag 3.10
Ta (0.5000, 0.6249, 0.8398)  8 Tl 3.04-3.09, 2 Ta 3.10
Tl (0.0000, 0.1251, 0.8977)  4 Ag 2.98-3.15, 4 Ta 3.05, 2 Tl 3.10

Output
DOS(E_F)	1.6	states/eV/cell
formation energy from the elements	11.39	kcal/mol of atoms
energy relative to the lowest polymorph listed for this composition	0.051	eV per atom
calculated volume	21.4	A^3/atom
VASP energy	-4.37	eV per atom
space-group type	No. 25



VASP calculation (PBE-GGA) on crystalline TaTlAg2 at its relaxed geometry.

Cell: 10.3592 10.3592 10.3592 Å, 16.85 16.85 16.85°
Closest atoms and distances in Å follow each position.
Atoms (fractional coordinates):
Tl (0.7500, 0.7500, 0.7500)  6 Tl 3.04, 6 Ag 3.24
Ta (0.2500, 0.2500, 0.2500)  6 Ag 2.96, 6 Ta 3.04
Ag (0.5056, 0.5056, 0.5056)  3 Ta 2.96, 6 Ag 3.04, 3 Tl 3.24
Ag (0.9944, 0.9944, 0.9944)  3 Ta 2.96, 6 Ag 3.04, 3 Tl 3.24

Output
DOS(E_F)	4.5	states/eV/cell
formation energy from the elements	8.92	kcal/mol of atoms
calculated volume	20.4	A^3/atom
VASP energy	-4.59	eV per atom
space-group type	No. 166



VASP calculation (PBE-GGA) on crystalline TaTlAg2 at its relaxed geometry.

Cell: 4.9952 4.9952 5.5794 Å, 82.57 82.57 34.80°
Closest atoms and distances in Å follow each position.
Atoms (fractional coordinates):
Ta (0.4970, 0.4970, 0.5142)  5 Ag 2.89-3.03, 3 Tl 2.93-3.03, 2 Ta 2.99
Ag (0.0027, 0.0027, 0.9848)  5 Ag 2.90-2.99, 3 Tl 2.96-3.05, 2 Ta 3.03
Ag (0.7502, 0.7502, 0.7472)  3 Ta 2.89-2.94, 5 Ag 2.90-2.99, 4 Tl 3.13-3.20
Tl (0.2500, 0.2500, 0.2539)  3 Ta 2.93-3.03, 7 Ag 2.96-3.20, 2 Tl 2.99

Output
DOS(E_F)	2.8	states/eV/cell
formation energy from the elements	11.51	kcal/mol of atoms
calculated volume	19.7	A^3/atom
VASP energy	-4.48	eV per atom
space-group type	No. 8



VASP calculation (PBE-GGA) on crystalline TaTlAg2 at its relaxed geometry.

Cell: 5.9201 5.9201 5.9201 Å, 151.00 127.78 60.85°
Closest atoms and distances in Å follow each position.
Atoms (fractional coordinates):
Ta (0.5042, 0.5042, 0.0000)  6 Ag 2.93-3.00, 2 Ta 2.96, 2 Tl 3.01
Ag (0.9962, 0.9962, 0.0000)  4 Ag 2.90-2.96, 2 Tl 2.97, 4 Ta 3.00
Ag (0.7516, 0.2516, 0.5000)  4 Ag 2.90-2.96, 2 Ta 2.93, 4 Tl 3.00
Tl (0.2481, 0.7481, 0.5000)  2 Tl 2.96, 6 Ag 2.97-3.00, 2 Ta 3.01

Output
DOS(E_F)	3.0	states/eV/cell
formation energy from the elements	12.42	kcal/mol of atoms
calculated volume	19.7	A^3/atom
VASP energy	-4.44	eV per atom
space-group type	No. 44



VASP calculation (PBE-GGA) on crystalline TaTlAg2 at its relaxed geometry.

Cell: 2.9460 2.9460 9.3368 Å, 90.00 90.00 90.00°
Closest atoms and distances in Å follow each position.
Atoms (fractional coordinates):
Ta (0.5000, 0.5000, 0.2500)  4 Ta 2.95, 8 Ag 2.95
Ag (0.0000, 0.0000, 0.4742)  4 Ag 2.95, 4 Ta 2.95
Ag (0.0000, 0.0000, 0.0258)  4 Ag 2.95, 4 Ta 2.95
Tl (0.5000, 0.5000, 0.7500)  4 Tl 2.95

Output
DOS(E_F)	1.3	states/eV/cell
formation energy from the elements	7.91	kcal/mol of atoms
calculated volume	20.3	A^3/atom
VASP energy	-4.64	eV per atom
space-group type	No. 123



VASP calculation (PBE-GGA) on crystalline TaTlAg2 at its relaxed geometry.

Cell: 9.9832 9.9832 9.9832 Å, 17.59 17.59 17.59°
Closest atoms and distances in Å follow each position.
Atoms (fractional coordinates):
Tl (0.7501, 0.7501, 0.7501)  6 Tl 3.05, 3 Ta 3.11, 3 Ag 3.11
Ag (0.2500, 0.2500, 0.2500)  3 Ta 2.93, 9 Ag 2.94-3.05
Ag (0.9963, 0.9963, 0.9963)  9 Ag 2.94-3.05, 3 Tl 3.11
Ta (0.5037, 0.5037, 0.5037)  3 Ag 2.93, 6 Ta 3.05, 3 Tl 3.11

Output
DOS(E_F)	2.7	states/eV/cell
formation energy from the elements	8.72	kcal/mol of atoms
calculated volume	19.8	A^3/atom
VASP energy	-4.60	eV per atom
space-group type	No. 160



VASP calculation (PBE-GGA) on crystalline TaTl2Ag at its relaxed geometry.

Cell: 3.1706 3.1706 9.9796 Å, 90.00 90.00 119.54°
Closest atoms and distances in Å follow each position.
Atoms (fractional coordinates):
Ag (0.5000, 0.5000, 0.2500)  4 Tl 2.95, 6 Ag 3.17-3.19
Tl (0.0000, 0.0000, 0.4980)  2 Ag 2.95, 2 Ta 2.98, 6 Tl 3.17-3.19
Tl (0.0000, 0.0000, 0.0020)  2 Ag 2.95, 2 Ta 2.98, 6 Tl 3.17-3.19
Ta (0.5000, 0.5000, 0.7500)  4 Tl 2.98, 6 Ta 3.17-3.19

Output
DOS(E_F)	2.2	states/eV/cell
formation energy from the elements	10.48	kcal/mol of atoms
energy relative to the lowest polymorph listed for this composition	0.012	eV per atom
calculated volume	21.8	A^3/atom
VASP energy	-4.40	eV per atom
space-group type	No. 65



VASP calculation (PBE-GGA) on crystalline TaTl2Ag at its relaxed geometry.

Cell: 3.0628 4.1875 6.6651 Å, 90.00 90.00 90.00°
Closest atoms and distances in Å follow each position.
Atoms (fractional coordinates):
Ag (0.5000, 0.5000, 0.2500)  2 Ag 3.06, 8 Tl 3.09, 2 Ta 3.33
Ta (0.5000, 0.5000, 0.7500)  2 Ta 3.06, 8 Tl 3.07, 2 Ag 3.33
Tl (0.0000, 0.0000, 0.5029)  4 Tl 3.06-3.37, 4 Ta 3.07, 4 Ag 3.09
Tl (0.0000, 0.0000, 0.9971)  4 Tl 3.06-3.37, 4 Ta 3.07, 4 Ag 3.09

Output
DOS(E_F)	1.5	states/eV/cell
formation energy from the elements	13.37	kcal/mol of atoms
energy relative to the lowest polymorph listed for this composition	0.137	eV per atom
calculated volume	21.4	A^3/atom
VASP energy	-4.28	eV per atom
space-group type	No. 47



VASP calculation (PBE-GGA) on crystalline TaTl2Ag at its relaxed geometry.

Cell: 3.0485 3.0485 10.3575 Å, 90.00 90.00 108.59°
Closest atoms and distances in Å follow each position.
Atoms (fractional coordinates):
Ta (0.5000, 0.5000, 0.7353)  2 Ag 2.82, 4 Ta 3.05, 2 Tl 3.07
Tl (0.5000, 0.5000, 0.2644)  4 Tl 3.05, 2 Ag 3.22
Ag (0.0000, 0.0000, 0.5240)  2 Ta 2.82, 4 Ag 3.05
Tl (0.0000, 0.0000, 0.9764)  4 Tl 3.05, 2 Ta 3.07

Output
DOS(E_F)	3.5	states/eV/cell
formation energy from the elements	10.74	kcal/mol of atoms
energy relative to the lowest polymorph listed for this composition	0.023	eV per atom
calculated volume	22.8	A^3/atom
VASP energy	-4.39	eV per atom
space-group type	No. 35



VASP calculation (PBE-GGA) on crystalline TaTlAg2 at its relaxed geometry.

Cell: 2.9214 2.9214 10.1251 Å, 90.00 90.00 110.30°
Closest atoms and distances in Å follow each position.
Atoms (fractional coordinates):
Tl (0.5000, 0.5000, 0.7500)  4 Tl 2.92, 4 Ag 3.19
Ta (0.5000, 0.5000, 0.2500)  4 Ag 2.88, 4 Ta 2.92
Ag (0.0000, 0.0000, 0.0187)  2 Ta 2.88, 4 Ag 2.92, 2 Tl 3.19
Ag (0.0000, 0.0000, 0.4813)  2 Ta 2.88, 4 Ag 2.92, 2 Tl 3.19

Output
DOS(E_F)	2.5	states/eV/cell
formation energy from the elements	8.12	kcal/mol of atoms
calculated volume	20.3	A^3/atom
VASP energy	-4.63	eV per atom
space-group type	No. 65



VASP calculation (PBE-GGA) on crystalline TaTlAg2 at its relaxed geometry.

Cell: 5.2995 5.2995 5.2995 Å, 133.17 133.17 68.39°
Closest atoms and distances in Å follow each position.
Atoms (fractional coordinates):
Tl (0.7500, 0.2500, 0.5000)  4 Ta 2.98, 8 Ag 3.04
Ag (0.0000, 0.0000, 0.0000)  4 Ag 2.98, 4 Ta 3.04, 4 Tl 3.04
Ta (0.2500, 0.7500, 0.5000)  4 Tl 2.98, 8 Ag 3.04
Ag (0.5000, 0.5000, 0.0000)  4 Ag 2.98, 4 Tl 3.04, 4 Ta 3.04

Output
DOS(E_F)	2.7	states/eV/cell
formation energy from the elements	13.56	kcal/mol of atoms
calculated volume	19.4	A^3/atom
VASP energy	-4.39	eV per atom
space-group type	No. 139



VASP calculation (PBE-GGA) on crystalline TaTl2Ag at its relaxed geometry.

Cell: 6.3618 6.3618 6.3618 Å, 151.63 132.85 55.95°
Closest atoms and distances in Å follow each position.
Atoms (fractional coordinates):
Ag (0.4728, 0.4728, 0.0000)  2 Ta 2.88, 4 Tl 3.04, 2 Ag 3.12
Tl (0.0233, 0.0233, 0.0000)  4 Ag 3.04, 2 Ta 3.06, 2 Tl 3.12
Tl (0.7465, 0.2465, 0.5000)  4 Ta 2.99, 2 Tl 3.12
Ta (0.2573, 0.7573, 0.5000)  2 Ag 2.88, 6 Tl 2.99-3.06, 2 Ta 3.12

Output
DOS(E_F)	2.1	states/eV/cell
formation energy from the elements	11.96	kcal/mol of atoms
energy relative to the lowest polymorph listed for this composition	0.076	eV per atom
calculated volume	22.3	A^3/atom
VASP energy	-4.34	eV per atom
space-group type	No. 44



VASP calculation (PBE-GGA) on crystalline Tm2TaAg at its relaxed geometry.

Cell: 3.2825 3.2825 8.4585 Å, 90.00 90.00 90.00°
Closest atoms and distances in Å follow each position.
Atoms (fractional coordinates):
Ta (0.5000, 0.5000, 0.5000)  8 Tm 3.16, 4 Ta 3.28
Ag (0.5000, 0.5000, 0.0000)  8 Tm 3.12, 4 Ag 3.28
Tm (0.0000, 0.0000, 0.2464)  4 Ag 3.12, 4 Ta 3.16, 4 Tm 3.28
Tm (0.0000, 0.0000, 0.7536)  4 Ag 3.12, 4 Ta 3.16, 4 Tm 3.28

Output
DOS(E_F)	4.7	states/eV/cell
formation energy from the elements	0.51	kcal/mol of atoms
energy relative to the lowest polymorph listed for this composition	0.000	eV per atom
calculated volume	22.8	A^3/atom
VASP energy	-5.89	eV per atom
space-group type	No. 123



VASP calculation (PBE-GGA) on crystalline Tm2TaAg at its relaxed geometry.

Cell: 3.1039 3.1039 11.3005 Å, 82.11 82.11 60.00°
Closest atoms and distances in Å follow each position.
Atoms (fractional coordinates):
Tm (0.0890, 0.0890, 0.7331)  1 Ta 2.98, 6 Tm 3.10, 3 Ag 3.16
Tm (0.9110, 0.9110, 0.2669)  1 Ta 2.98, 6 Tm 3.10, 3 Ag 3.16
Ag (0.5000, 0.5000, 0.5000)  6 Ag 3.10, 6 Tm 3.16
Ta (0.0000, 0.0000, 0.0000)  2 Tm 2.98, 6 Ta 3.10

Output
DOS(E_F)	4.1	states/eV/cell
formation energy from the elements	11.65	kcal/mol of atoms
energy relative to the lowest polymorph listed for this composition	0.483	eV per atom
calculated volume	23.3	A^3/atom
VASP energy	-5.41	eV per atom
space-group type	No. 166



VASP calculation (PBE-GGA) on crystalline TaVAg at its relaxed geometry.

Cell: 4.6920 5.1722 5.3208 Å, 78.46 63.84 63.03°
Closest atoms and distances in Å follow each position.
Atoms (fractional coordinates):
Ta (0.6586, 0.0000, 0.6829)  4 V 2.73, 3 Ta 2.92-3.03
V (0.7500, 0.5000, 0.5000)  2 V 2.35
Ta (0.3414, 0.0000, 0.3171)  4 V 2.73, 3 Ta 2.92-3.03
V (0.2500, 0.5000, 0.5000)  2 V 2.35
Ag (0.1535, 0.6931, 0.0000)  4 V 2.81, 3 Ag 2.83-2.94, 4 Ta 3.13
Ag (0.8465, 0.3069, 0.0000)  4 V 2.81, 3 Ag 2.83-2.94, 4 Ta 3.13

Output
DOS(E_F)	8.4	states/eV/cell
formation energy from the elements	12.45	kcal/mol of atoms
calculated volume	17.2	A^3/atom
VASP energy	-7.40	eV per atom
space-group type	No. 69



VASP calculation (PBE-GGA) on crystalline Ta2VAg at its relaxed geometry.

Cell: 4.5738 4.5738 4.5738 Å, 60.00 60.00 60.00°
Closest atoms and distances in Å follow each position.
Atoms (fractional coordinates):
Ta (0.2500, 0.2500, 0.2500)  4 Ag 2.80, 4 V 2.80
V (0.0000, 0.0000, 0.0000)  8 Ta 2.80
Ag (0.5000, 0.5000, 0.5000)  8 Ta 2.80
Ta (0.7500, 0.7500, 0.7500)  4 Ag 2.80, 4 V 2.80

Output
DOS(E_F)	5.4	states/eV/cell
formation energy from the elements	8.68	kcal/mol of atoms
energy relative to the lowest polymorph listed for this composition	0.000	eV per atom
calculated volume	16.9	A^3/atom
VASP energy	-8.54	eV per atom
space-group type	No. 225



VASP calculation (PBE-GGA) on crystalline Ta3VAg at its relaxed geometry.

Cell: 4.6455 4.6455 4.6455 Å, 90.00 90.00 90.00°
Closest atoms and distances in Å follow each position.
Atoms (fractional coordinates):
V (0.0000, 0.0000, 0.0000)  6 Ta 2.32
Ta (0.0000, 0.5000, 0.0000)  2 V 2.32
Ta (0.5000, 0.0000, 0.0000)  2 V 2.32
Ta (0.0000, 0.0000, 0.5000)  2 V 2.32
Ag (0.5000, 0.5000, 0.5000)  12 Ta 3.28

Output
DOS(E_F)	6.5	states/eV/cell
formation energy from the elements	27.88	kcal/mol of atoms
energy relative to the lowest polymorph listed for this composition	0.000	eV per atom
calculated volume	20.1	A^3/atom
VASP energy	-8.30	eV per atom
space-group type	No. 221



VASP calculation (PBE-GGA) on crystalline Ta3VAg at its relaxed geometry.

Cell: 4.8789 4.8789 4.8789 Å, 90.00 90.00 90.00°
Closest atoms and distances in Å follow each position.
Atoms (fractional coordinates):
Ta (0.0000, 0.5000, 0.0000)  2 Ag 2.44
Ta (0.0000, 0.0000, 0.5000)  2 Ag 2.44
V (0.5000, 0.5000, 0.5000)  12 Ta 3.45
Ag (0.0000, 0.0000, 0.0000)  6 Ta 2.44
Ta (0.5000, 0.0000, 0.0000)  2 Ag 2.44

Output
DOS(E_F)	9.0	states/eV/cell
formation energy from the elements	50.01	kcal/mol of atoms
energy relative to the lowest polymorph listed for this composition	0.959	eV per atom
calculated volume	23.2	A^3/atom
VASP energy	-7.34	eV per atom
space-group type	No. 221



VASP calculation (PBE-GGA) on crystalline TaV3Ag at its relaxed geometry.

Cell: 4.6815 4.6815 4.6815 Å, 90.00 90.00 90.00°
Closest atoms and distances in Å follow each position.
Atoms (fractional coordinates):
V (0.0000, 0.5000, 0.0000)  2 Ag 2.34
Ta (0.5000, 0.5000, 0.5000)  12 V 3.31
V (0.5000, 0.0000, 0.0000)  2 Ag 2.34
Ag (0.0000, 0.0000, 0.0000)  6 V 2.34
V (0.0000, 0.0000, 0.5000)  2 Ag 2.34

Output
DOS(E_F)	10.5	states/eV/cell
formation energy from the elements	44.15	kcal/mol of atoms
energy relative to the lowest polymorph listed for this composition	0.408	eV per atom
calculated volume	20.5	A^3/atom
VASP energy	-6.50	eV per atom
space-group type	No. 221



VASP calculation (PBE-GGA) on crystalline Ta2VAg at its relaxed geometry.

Cell: 3.9024 3.9024 10.0549 Å, 78.81 78.81 90.00°
Closest atoms and distances in Å follow each position.
Atoms (fractional coordinates):
Ag (0.7500, 0.2500, 0.5000)  4 V 2.76, 4 Ta 2.80
Ag (0.0000, 0.0000, 0.0000)  4 V 2.76, 4 Ta 2.80
Ta (0.8750, 0.8639, 0.7500)  4 Ta 2.70-2.82, 2 V 2.77, 2 Ag 2.80
Ta (0.6139, 0.1250, 0.2500)  4 Ta 2.70-2.82, 2 V 2.77, 2 Ag 2.80
V (0.2500, 0.7500, 0.5000)  4 Ag 2.76, 4 Ta 2.77
V (0.5000, 0.5000, 0.0000)  4 Ag 2.76, 4 Ta 2.77
Ta (0.1361, 0.6250, 0.2500)  4 Ta 2.70-2.82, 2 V 2.77, 2 Ag 2.80
Ta (0.3750, 0.3861, 0.7500)  4 Ta 2.70-2.82, 2 V 2.77, 2 Ag 2.80

Output
DOS(E_F)	6.0	states/eV/cell
formation energy from the elements	19.10	kcal/mol of atoms
energy relative to the lowest polymorph listed for this composition	0.452	eV per atom
calculated volume	18.4	A^3/atom
VASP energy	-8.09	eV per atom
space-group type	No. 122